(1)
This record from Alexandria describes crystalline Bi12Au5Se3 at its relaxed geometry. The functional is PBE-GGA.

The structure belongs to space group Ia-3d (No. 230); the cell edges are 17.365, 17.365 and 17.365 Å and the angles 90.00°, 90.00° and 90.00°. Symmetry generates all atoms from Bi at (0.041, 0.083, 0.639), Au at (0.000, 0.000, 0.000), Au at (0.000, 0.250, 0.375) and Se at (0.000, 0.250, 0.125).

For the raw total energy, the calculation gives -71.1 eV per formula unit. Its crystal system is cubic. As for the density of states at the Fermi level: 0.55 states/eV per atom.

=====

(2)
This record from Alexandria describes crystalline Dy4Er8Sc3 at its relaxed geometry. The functional is PBE-GGA.

The structure belongs to space group C2/m (No. 12); the cell edges are 13.108, 12.445 and 6.517 Å and the angles 90.00°, 119.53° and 90.00°. Symmetry generates all atoms from Dy at (0.000, 0.000, 0.000), Dy at (0.000, 0.500, 0.500), Dy at (0.250, 0.250, 0.000), Er at (0.000, 0.242, 0.500), Er at (0.000, 0.355, 0.000), Er at (0.231, 0.500, 0.039), Er at (0.249, 0.500, 0.531), Sc at (0.000, 0.000, 0.500) and Sc at (0.250, 0.250, 0.500).

For the raw total energy, the calculation gives -67.8 eV per formula unit. Its crystal system is monoclinic. As for the density of states at the Fermi level: 1.98 states/eV per atom.

=====

(3)
This record from Alexandria describes crystalline KSbAuI2 at its relaxed geometry. The functional is PBE-GGA.

The structure belongs to space group P4/mmm (No. 123); the cell edges are 6.055, 6.055 and 5.327 Å and the angles 90.00°, 90.00° and 90.00°. Symmetry generates all atoms from K at (0.000, 0.000, 0.000), Sb at (0.500, 0.500, 0.000), Au at (0.500, 0.500, 0.500) and I at (0.000, 0.500, 0.500).

As for the energy above the most stable polymorph in this dataset: 0 meV/atom. Its crystal system is tetragonal. As for the density of states at the Fermi level: 0.81 states/eV per atom.

=====

(4)
This record from Alexandria describes crystalline Re2HgAs at its relaxed geometry. The functional is PBE-GGA.

The structure belongs to space group Imm2 (No. 44); the cell edges are 2.870, 4.743 and 10.474 Å and the angles 90.00°, 90.00° and 90.00°. Symmetry generates all atoms from Re at (0.000, 0.000, 0.000), Re at (0.000, 0.500, 0.298), Hg at (0.000, 0.000, 0.513) and As at (0.000, 0.500, 0.720).

As for the energy above the most stable polymorph in this dataset: 480 meV/atom. Its crystal system is orthorhombic. As for the density of states at the Fermi level: 0.82 states/eV per atom.

=====

(5)
This record from Alexandria describes crystalline LaMnNi2 at its relaxed geometry. The functional is PBE-GGA.

The structure belongs to space group P4/mmm (No. 123); the cell edges are 4.493, 4.493 and 3.389 Å and the angles 90.00°, 90.00° and 90.00°. Symmetry generates all atoms from La at (0.000, 0.000, 0.000), Mn at (0.500, 0.500, 0.000) and Ni at (0.000, 0.500, 0.500).

For the raw total energy, the calculation gives -25.4 eV per formula unit. Its crystal system is tetragonal. As for the density of states at the Fermi level: 0.83 states/eV per atom.

=====

(6)
This record from Alexandria describes crystalline Hg3Te12Au5 at its relaxed geometry. The functional is PBE-GGA.

The structure belongs to space group Ia-3d (No. 230); the cell edges are 17.423, 17.423 and 17.423 Å and the angles 90.00°, 90.00° and 90.00°. Symmetry generates all atoms from Hg at (0.000, 0.250, 0.125), Te at (0.009, 0.043, 0.656), Au at (0.000, 0.000, 0.000) and Au at (0.000, 0.250, 0.375).

For the raw total energy, the calculation gives -52.7 eV per formula unit. Its crystal system is cubic. As for the density of states at the Fermi level: 0.68 states/eV per atom.

=====

(7)
This record from Alexandria describes crystalline LiRuRh2C at its relaxed geometry. The functional is PBE-GGA.

The structure belongs to space group P4/mmm (No. 123); the cell edges are 4.034, 4.034 and 4.027 Å and the angles 90.00°, 90.00° and 90.00°. Symmetry generates all atoms from Li at (0.000, 0.000, 0.000), Ru at (0.500, 0.500, 0.000), Rh at (0.000, 0.500, 0.500) and C at (0.500, 0.500, 0.500).

For the raw total energy, the calculation gives -34.7 eV per formula unit. Its crystal system is tetragonal. As for the density of states at the Fermi level: 1.06 states/eV per atom.

=====

(8)
This record from Alexandria describes crystalline BaInCu at its relaxed geometry. The functional is PBE-GGA.

The structure belongs to space group F-43m (No. 216); the cell edges are 7.669, 7.669 and 7.669 Å and the angles 90.00°, 90.00° and 90.00°. Symmetry generates all atoms from Ba at (0.000, 0.000, 0.000), In at (0.250, 0.250, 0.750) and Cu at (0.250, 0.250, 0.250).

For the raw total energy, the calculation gives -7.4 eV per formula unit. Its crystal system is cubic. As for the density of states at the Fermi level: 1.15 states/eV per atom.

=====

(9)
This record from Alexandria describes crystalline SmDyRhAu at its relaxed geometry. The functional is PBE-GGA.

The structure belongs to space group Amm2 (No. 38); the cell edges are 4.597, 3.827 and 10.571 Å and the angles 90.00°, 90.00° and 90.00°. Symmetry generates all atoms from Sm at (0.000, 0.000, 0.000), Dy at (0.500, 0.000, 0.720), Rh at (0.000, 0.000, 0.264) and Au at (0.500, 0.000, 0.438).

As for the energy above the most stable polymorph in this dataset: 0 meV/atom. Its crystal system is orthorhombic. As for the density of states at the Fermi level: 0.65 states/eV per atom.

=====

(10)
This record from Alexandria describes crystalline CrReSb2 at its relaxed geometry. The functional is PBE-GGA.

The structure belongs to space group P4/mmm (No. 123); the cell edges are 4.632, 4.632 and 3.274 Å and the angles 90.00°, 90.00° and 90.00°. Symmetry generates all atoms from Cr at (0.000, 0.000, 0.000), Re at (0.500, 0.500, 0.000) and Sb at (0.000, 0.500, 0.500).

As for the energy above the most stable polymorph in this dataset: 283 meV/atom. Its crystal system is tetragonal. As for the density of states at the Fermi level: 0.75 states/eV per atom.

=====

(11)
This record from Alexandria describes crystalline Ga2TeH2 at its relaxed geometry. The functional is PBE-GGA.

The structure belongs to space group I4/mmm (No. 139); the cell edges are 3.642, 3.642 and 11.326 Å and the angles 90.00°, 90.00° and 90.00°. Symmetry generates all atoms from Ga at (0.000, 0.000, 0.160), Te at (0.000, 0.000, 0.500) and H at (0.000, 0.500, 0.250).

For the raw total energy, the calculation gives -14.8 eV per formula unit. Its crystal system is tetragonal. As for the density of states at the Fermi level: 0.41 states/eV per atom.

=====

(12)
This record from Alexandria describes crystalline ZrReAg2 at its relaxed geometry. The functional is PBE-GGA.

The structure belongs to space group Immm (No. 71); the cell edges are 3.266, 4.439 and 9.909 Å and the angles 90.00°, 90.00° and 90.00°. Symmetry generates all atoms from Zr at (0.000, 0.000, 0.000), Re at (0.000, 0.000, 0.500) and Ag at (0.000, 0.500, 0.238).

As for the energy above the most stable polymorph in this dataset: 53 meV/atom. Its crystal system is orthorhombic. As for the density of states at the Fermi level: 0.74 states/eV per atom.